A plane-wave DFT calculation with GGA-PBE was carried out for CsTmTe3Pb after structural relaxation.

For the magnetization, the calculation gives 0.00 Bohr magnetons per cell. As for the crystal system: orthorhombic.

a = 17.715 Å, b = 4.471 Å, c = 12.755 Å
α = 90.00°, β = 90.00°, γ = 90.00°
Space group Pnma (No. 62)
Unique sites:
Cs  0.229  0.250  0.076
Tm  0.009  0.750  0.644
Te  0.085  0.750  0.246
Te  0.099  0.250  0.539
Te  0.134  0.750  0.820
Pb  0.038  0.250  0.911


A plane-wave DFT calculation with GGA-PBE was carried out for CuAg4 after structural relaxation.

For the relative energy among the computed polymorphs, the calculation gives 29 meV per atom. Its energy of formation from the pure elements is 0.26 eV per formula unit. As for the crystal system: trigonal.

a = 2.9032 Å, b = 2.9032 Å, c = 68.8403 Å
α = 90.00°, β = 90.00°, γ = 120.00°
Space group R-3m (No. 166, hexagonal axes)
Unique sites:
Cu  0.0000  0.0000  0.1977
Ag  0.0000  0.0000  0.0000
Ag  0.0000  0.0000  0.1047
Ag  0.0000  0.0000  0.2986
Ag  0.0000  0.0000  0.4030
Ag  0.0000  0.0000  0.5000


A plane-wave DFT calculation with GGA-PBE was carried out for SmScNi4 after structural relaxation.

For the magnetization, the calculation gives 0.00 Bohr magnetons per cell. Its energy of formation from the pure elements is -2.56 eV per formula unit. As for the crystal system: cubic.

a = 7.058 Å, b = 7.058 Å, c = 7.058 Å
α = 90.00°, β = 90.00°, γ = 90.00°
Space group F-43m (No. 216)
Unique sites:
Sm  0.000  0.000  0.000
Sc  0.250  0.250  0.750
Ni  0.124  0.124  0.376


A plane-wave DFT calculation with GGA-PBE was carried out for FeB2 after structural relaxation.

For the magnetization, the calculation gives 0.53 Bohr magnetons per cell. As for the crystal system: orthorhombic.

a = 3.085 Å, b = 5.096 Å, c = 5.337 Å
α = 90.00°, β = 90.00°, γ = 90.00°
Space group Imma (No. 74)
Unique sites:
Fe  0.000  0.250  0.043
B  0.000  0.039  0.665


A plane-wave DFT calculation with GGA-PBE was carried out for TlNiMoAu after structural relaxation.

For the magnetization, the calculation gives 6.23 Bohr magnetons per cell. As for the crystal system: cubic.

a = 6.486 Å, b = 6.486 Å, c = 6.486 Å
α = 90.00°, β = 90.00°, γ = 90.00°
Space group F-43m (No. 216)
Unique sites:
Tl  0.000  0.000  0.000
Ni  0.250  0.250  0.250
Mo  0.250  0.250  0.750
Au  0.000  0.000  0.500


A plane-wave DFT calculation with GGA-PBE was carried out for PrCoGe3 after structural relaxation.

For the magnetization, the calculation gives 0.00 Bohr magnetons per cell. As for the crystal system: tetragonal.

a = 4.343 Å, b = 4.343 Å, c = 9.912 Å
α = 90.00°, β = 90.00°, γ = 90.00°
Space group I4mm (No. 107)
Unique sites:
Pr  0.000  0.000  0.000
Co  0.000  0.000  0.664
Ge  0.000  0.000  0.432
Ge  0.000  0.500  0.258


| no. | final energy (eV/cell) |
| --- | --- |
| 1 | -97.95 |
| 2 | -88.50 |
| 3 | -143.49 |
| 4 | -87.55 |
| 5 | -79.50 |
| 6 | -57.20 |